Crystalline KFeCu at its relaxed geometry. Source: the Alexandria database, functional PBE.

The structure in POSCAR format:
```
KFeCu
1.0
-1.054 -4.936 0.522
2.648 -2.827 3.278
-2.201 -1.689 4.249
Cu Fe K
1 1 1
Cartesian
0.000 0.000 0.000
-0.303 -4.726 4.024
-0.152 -2.363 2.012
```

For the energy relative to the elements, the calculation gives 1718.7 meV/atom. For the polymorph energy (0 for the lowest one), the calculation gives 1.039 eV per atom.